# PBE Hg2PtPb, optimized geometry
data_Hg2PtPb
_cell_length_a 4.1327
_cell_length_b 4.1512
_cell_length_c 5.8499
_cell_angle_alpha 90.00
_cell_angle_beta 98.07
_cell_angle_gamma 90.00
_symmetry_space_group_name_H-M 'P 1 2/m 1'
_symmetry_Int_Tables_number 10
_symmetry_space_group_name_Hall '-P 2y'
loop_
_atom_site_label
_atom_site_fract_x
_atom_site_fract_y
_atom_site_fract_z
Hg1 0.0000 0.0000 0.0000
Hg2 0.5000 0.5000 0.0000
Pt1 0.0000 0.0000 0.5000
Pb1 0.5000 0.5000 0.5000
# ΔE_f = 0.099 eV/atom

---

# PBE LaSm6Tm6, optimized geometry
data_LaSm6Tm6
_cell_length_a 6.7001
_cell_length_b 6.7001
_cell_length_c 11.4054
_cell_angle_alpha 90.00
_cell_angle_beta 90.00
_cell_angle_gamma 120.00
_symmetry_space_group_name_H-M 'P 6/m m m'
_symmetry_Int_Tables_number 191
_symmetry_space_group_name_Hall '-P 6 2'
loop_
_atom_site_label
_atom_site_fract_x
_atom_site_fract_y
_atom_site_fract_z
La1 0.0000 0.0000 0.0000
Sm1 0.0000 0.0000 0.3480
Sm2 0.3333 0.6667 0.0000
Sm3 0.3333 0.6667 0.5000
Tm1 0.0000 0.5000 0.2463
# ΔE_f = 0.249 eV/atom

---

# PBE PmYIr2, optimized geometry
data_PmYIr2
_cell_length_a 6.9603
_cell_length_b 6.9603
_cell_length_c 6.9603
_cell_angle_alpha 90.00
_cell_angle_beta 90.00
_cell_angle_gamma 90.00
_symmetry_space_group_name_H-M 'F m -3 m'
_symmetry_Int_Tables_number 225
_symmetry_space_group_name_Hall '-F 4 2 3'
loop_
_atom_site_label
_atom_site_fract_x
_atom_site_fract_y
_atom_site_fract_z
Pm1 0.0000 0.0000 0.0000
Y1 0.0000 0.0000 0.5000
Ir1 0.2500 0.2500 0.2500
# ΔE_f = -0.682 eV/atom

---

# PBE SmDyGa, optimized geometry
data_SmDyGa
_cell_length_a 7.0761
_cell_length_b 7.0761
_cell_length_c 7.0761
_cell_angle_alpha 90.00
_cell_angle_beta 90.00
_cell_angle_gamma 90.00
_symmetry_space_group_name_H-M 'F -4 3 m'
_symmetry_Int_Tables_number 216
_symmetry_space_group_name_Hall 'F -4 2 3'
loop_
_atom_site_label
_atom_site_fract_x
_atom_site_fract_y
_atom_site_fract_z
Sm1 0.0000 0.0000 0.0000
Dy1 0.0000 0.0000 0.5000
Ga1 0.2500 0.2500 0.2500
# ΔE_f = -0.240 eV/atom

---

# PBE Ti2HgSb, optimized geometry
data_Ti2HgSb
_cell_length_a 3.5314
_cell_length_b 3.5314
_cell_length_c 23.7608
_cell_angle_alpha 90.00
_cell_angle_beta 90.00
_cell_angle_gamma 120.00
_symmetry_space_group_name_H-M 'R 3 m'
_symmetry_Int_Tables_number 160
_symmetry_space_group_name_Hall 'R 3 -2"'
loop_
_atom_site_label
_atom_site_fract_x
_atom_site_fract_y
_atom_site_fract_z
Ti1 0.0000 0.0000 0.0000
Ti2 0.0000 0.0000 0.1749
Hg1 0.0000 0.0000 0.7554
Sb1 0.0000 0.0000 0.5867
# E_form (uncorrected) = 0.052 eV per atom

---

# PBE ScRe2, optimized geometry
data_ScRe2
_cell_length_a 4.5071
_cell_length_b 4.5071
_cell_length_c 6.1176
_cell_angle_alpha 90.00
_cell_angle_beta 90.00
_cell_angle_gamma 120.00
_symmetry_space_group_name_H-M 'P 63/m m c'
_symmetry_Int_Tables_number 194
_symmetry_space_group_name_Hall '-P 6c 2c'
loop_
_atom_site_label
_atom_site_fract_x
_atom_site_fract_y
_atom_site_fract_z
Sc1 0.0000 0.0000 0.2500
Re1 0.3333 0.6667 0.0526
# ΔE_f = 0.010 eV/atom

---

# PBE PuSiOs, optimized geometry
data_PuSiOs
_cell_length_a 3.7238
_cell_length_b 3.7238
_cell_length_c 8.3329
_cell_angle_alpha 90.00
_cell_angle_beta 90.00
_cell_angle_gamma 90.00
_symmetry_space_group_name_H-M 'I 4 m m'
_symmetry_Int_Tables_number 107
_symmetry_space_group_name_Hall 'I 4 -2'
loop_
_atom_site_label
_atom_site_fract_x
_atom_site_fract_y
_atom_site_fract_z
Pu1 0.0000 0.0000 0.0000
Si1 0.0000 0.0000 0.6735
Os1 0.0000 0.0000 0.3860
# E_form (uncorrected) = 0.200 eV per atom

---

# PBE Tl2PbC, optimized geometry
data_Tl2PbC
_cell_length_a 7.3580
_cell_length_b 7.3580
_cell_length_c 7.3580
_cell_angle_alpha 90.00
_cell_angle_beta 90.00
_cell_angle_gamma 90.00
_symmetry_space_group_name_H-M 'F m -3 m'
_symmetry_Int_Tables_number 225
_symmetry_space_group_name_Hall '-F 4 2 3'
loop_
_atom_site_label
_atom_site_fract_x
_atom_site_fract_y
_atom_site_fract_z
Tl1 0.2500 0.2500 0.2500
Pb1 0.0000 0.0000 0.0000
C1 0.0000 0.0000 0.5000
# ΔE_f = 1.459 eV/atom